(1)
Below is a crystal of LaMo2Ru2 relaxed with PBEsol, with properties calculated at the meta-GGA SCAN level.

```
data_LaMo2Ru2
_chemical_formula_sum 'La2 Mo4 Ru4'
_space_group_name_H-M_alt 'I 4/m m m'
_space_group_IT_number 139
_space_group_name_Hall '-I 4 2'
_cell_length_a 4.334
_cell_length_b 4.334
_cell_length_c 10.190
_cell_angle_alpha 90.00
_cell_angle_beta 90.00
_cell_angle_gamma 90.00
loop_
_atom_site_label
_atom_site_type_symbol
_atom_site_fract_x
_atom_site_fract_y
_atom_site_fract_z
La1 La 0.000 0.000 0.000
Mo1 Mo 0.000 0.000 0.373
Ru1 Ru 0.000 0.500 0.250
```

Output
Density of states at the Fermi level   8.86 states/eV per cell
E_form   0.113 eV/atom
E   -181.97 eV per formula unit

=====

(2)
Below is a crystal of AlSiF2 relaxed with PBEsol, with properties calculated at the meta-GGA SCAN level.

```
data_AlSiF2
_chemical_formula_sum 'Al3 Si3 F6'
_space_group_name_H-M_alt 'R -3 m'
_space_group_IT_number 166
_space_group_name_Hall '-R 3 2"'
_cell_length_a 2.6881
_cell_length_b 2.6881
_cell_length_c 23.0649
_cell_angle_alpha 90.00
_cell_angle_beta 90.00
_cell_angle_gamma 120.00
loop_
_atom_site_label
_atom_site_type_symbol
_atom_site_fract_x
_atom_site_fract_y
_atom_site_fract_z
Al1 Al 0.0000 0.0000 0.0000
Si1 Si 0.0000 0.0000 0.5000
F1 F 0.0000 0.0000 0.4231
```

Output
Density of states at the Fermi level   2.84 states/eV per cell
Formation energy from raw total energies   -1497 meV per atom
E   -30.84 eV per formula unit